# Ho2B2Ru3

Crystalline Ho2B2Ru3 at its relaxed geometry (PBE, the Alexandria database).

Calculated values
The volume comes out at 16.3 Å³/atom. The final energy comes out at -7.6494 eV per atom. The energy of formation from the pure elements is -3.2 eV/f.u.

abc: 9.8291 4.1147 5.9437
angles: 90.00 108.56 90.00
Closest atoms and distances in Å follow each position.
Space group C2/m (No. 12)
Unique sites:
1 Ho 0.1240 0.0000 0.2978 x4  1 B 2.77, 7 Ru 2.85-3.08
2 B 0.1374 0.5000 0.8557 x4  4 Ru 2.10-2.12
3 Ru 0.0000 0.5000 0.5000 x2  2 B 2.12
4 Ru 0.1820 0.0000 0.8365 x4  3 B 2.10-2.11


# MgZrGa

Crystalline MgZrGa at its relaxed geometry (PBE, the Alexandria database).

Calculated values
The volume comes out at 19.8 Å³/atom. The final energy comes out at -4.7280 eV per atom. The energy of formation from the pure elements is -1.0 eV/f.u.

abc: 3.9743 3.9743 7.5221
angles: 90.00 90.00 90.00
Closest atoms and distances in Å follow each position.
Space group P4/nmm (No. 129, origin choice 2)
Unique sites:
1 Mg 0.2500 0.7500 0.0000 x2  4 Mg 2.81, 4 Ga 2.84
2 Zr 0.2500 0.2500 0.3641 x2  5 Ga 2.76-2.90
3 Ga 0.2500 0.2500 0.7309 x2  5 Zr 2.76-2.90, 4 Mg 2.84


# PaTlCdPd

Crystalline PaTlCdPd at its relaxed geometry (PBE, the Alexandria database).

Calculated values
The volume comes out at 22.5 Å³/atom. The final energy comes out at -4.5577 eV per atom. The energy of formation from the pure elements is -0.3 eV/f.u.

abc: 7.1091 7.1091 7.1091
angles: 90.00 90.00 90.00
Closest atoms and distances in Å follow each position.
Space group F-43m (No. 216)
Unique sites:
1 Pa 0.0000 0.0000 0.0000 x4  4 Pd 3.08, 4 Tl 3.08
2 Tl 0.2500 0.2500 0.7500 x4  4 Cd 3.08, 4 Pa 3.08
3 Cd 0.0000 0.0000 0.5000 x4  4 Tl 3.08, 4 Pd 3.08
4 Pd 0.2500 0.2500 0.2500 x4  4 Cd 3.08, 4 Pa 3.08


# ScMo2Br

Crystalline ScMo2Br at its relaxed geometry (PBE, the Alexandria database).

Calculated values
The value obtained for the formation energy (no corrections) is 0.60 eV/atom. The volume comes out at 18.4 Å³/atom. As for the energy above the most stable polymorph in this dataset: 673.6 meV/atom. The final energy comes out at -6.8167 eV per atom.

abc: 3.0350 3.0350 27.6602
angles: 90.00 90.00 120.00
Closest atoms and distances in Å follow each position.
Space group R-3m (No. 166, hexagonal axes)
Unique sites:
1 Sc 0.0000 0.0000 0.0000 x3  6 Mo 2.98, 6 Sc 3.04
2 Mo 0.0000 0.0000 0.2460 x6  3 Br 2.81, 3 Sc 2.98, 6 Mo 3.04
3 Br 0.0000 0.0000 0.5000 x3  6 Mo 2.81, 6 Br 3.04